Material: Dy6ZnCd
Method: DFT, PBE
State: optimized geometry

formation energy from the elements: -0.1405 eV/atom
volume: 28.15 Å³ per atom

Cell: 5.0620 5.0620 17.5765 Å, 90.00 90.00 90.00°
Fractional coordinates of all 16 atoms:
Dy: 0.0000 0.0000 0.2500
Dy: 0.0000 0.0000 0.7500
Dy: 0.0000 0.5000 0.1090
Dy: 0.0000 0.5000 0.3910
Dy: 0.0000 0.5000 0.6090
Dy: 0.0000 0.5000 0.8910
Dy: 0.5000 0.0000 0.1090
Dy: 0.5000 0.0000 0.3910
Dy: 0.5000 0.0000 0.6090
Dy: 0.5000 0.0000 0.8910
Dy: 0.5000 0.5000 0.2500
Dy: 0.5000 0.5000 0.7500
Zn: 0.0000 0.0000 0.0000
Zn: 0.5000 0.5000 0.5000
Cd: 0.0000 0.0000 0.5000
Cd: 0.5000 0.5000 0.0000

***

Material: PdRh2O5
Method: DFT, PBE
State: optimized geometry

energy relative to the elements, uncorrected: -0.45 eV per atom
volume: 12.70 Å³ per atom

Cell: 5.4063 5.4063 9.9636 Å, 90.00 90.00 135.75°
Fractional coordinates of all 16 atoms:
Pd: 0.1895 0.8105 0.7500
Pd: 0.8105 0.1895 0.2500
Rh: 0.1429 0.8571 0.0653
Rh: 0.1429 0.8571 0.4347
Rh: 0.8571 0.1429 0.5653
Rh: 0.8571 0.1429 0.9347
O: 0.0504 0.9496 0.6093
O: 0.0504 0.9496 0.8907
O: 0.2487 0.7513 0.2500
O: 0.3106 0.6894 0.5677
O: 0.3106 0.6894 0.9323
O: 0.6894 0.3106 0.0677
O: 0.6894 0.3106 0.4323
O: 0.7513 0.2487 0.7500
O: 0.9496 0.0504 0.1093
O: 0.9496 0.0504 0.3907

***

Material: Cd2SI2
Method: DFT, PBE
State: optimized geometry

energy relative to the elements, uncorrected: -0.43 eV per atom
volume: 34.73 Å³ per atom

Cell: 8.0935 8.0935 8.3089 Å, 120.29 120.29 50.20°
Fractional coordinates of all 10 atoms:
Cd: 0.0019 0.0019 0.2720
Cd: 0.3364 0.3364 0.8396
Cd: 0.6636 0.6636 0.1604
Cd: 0.9981 0.9981 0.7280
S: 0.1388 0.1388 0.6399
S: 0.8612 0.8612 0.3601
I: 0.1647 0.1647 0.1643
I: 0.4998 0.4998 0.2513
I: 0.5002 0.5002 0.7487
I: 0.8353 0.8353 0.8357

***

Material: HfCr2Ir
Method: DFT, PBE
State: optimized geometry

formation energy from the elements: 0.4312 eV/atom
volume: 16.23 Å³ per atom

Cell: 7.0988 7.0988 5.1538 Å, 90.00 90.00 90.00°
Fractional coordinates of all 16 atoms:
Hf: 0.0000 0.0000 0.0000
Hf: 0.0000 0.5000 0.2500
Hf: 0.5000 0.0000 0.7500
Hf: 0.5000 0.5000 0.5000
Cr: 0.2168 0.2500 0.6250
Cr: 0.2500 0.7168 0.8750
Cr: 0.2500 0.7832 0.3750
Cr: 0.2832 0.2500 0.1250
Cr: 0.7168 0.7500 0.1250
Cr: 0.7500 0.2168 0.3750
Cr: 0.7500 0.2832 0.8750
Cr: 0.7832 0.7500 0.6250
Ir: 0.0000 0.0000 0.5000
Ir: 0.0000 0.5000 0.7500
Ir: 0.5000 0.0000 0.2500
Ir: 0.5000 0.5000 0.0000

***

Material: LiPuNiGe
Method: DFT, PBE
State: optimized geometry

formation energy from the elements: -0.2589 eV/atom
volume: 16.17 Å³ per atom

Cell: 6.3714 6.3714 6.3714 Å, 90.00 90.00 90.00°
Fractional coordinates of all 16 atoms:
Li: 0.0000 0.0000 0.0000
Li: 0.0000 0.5000 0.5000
Li: 0.5000 0.0000 0.5000
Li: 0.5000 0.5000 0.0000
Pu: 0.2500 0.2500 0.2500
Pu: 0.2500 0.7500 0.7500
Pu: 0.7500 0.2500 0.7500
Pu: 0.7500 0.7500 0.2500
Ni: 0.0000 0.0000 0.5000
Ni: 0.0000 0.5000 0.0000
Ni: 0.5000 0.0000 0.0000
Ni: 0.5000 0.5000 0.5000
Ge: 0.2500 0.2500 0.7500
Ge: 0.2500 0.7500 0.2500
Ge: 0.7500 0.2500 0.2500
Ge: 0.7500 0.7500 0.7500

***

Material: PaVGa5
Method: DFT, PBE
State: optimized geometry

formation energy from the elements: -0.2375 eV/atom
volume: 19.10 Å³ per atom

Cell: 4.4103 4.4103 6.8732 Å, 90.00 90.00 90.00°
Fractional coordinates of all 7 atoms:
Pa: 0.0000 0.0000 0.0000
V: 0.0000 0.0000 0.5000
Ga: 0.0000 0.5000 0.3030
Ga: 0.0000 0.5000 0.6970
Ga: 0.5000 0.0000 0.3030
Ga: 0.5000 0.0000 0.6970
Ga: 0.5000 0.5000 0.0000

***

Material: PmPr2Fe
Method: DFT, PBE
State: optimized geometry

formation energy from the elements: 0.6272 eV/atom
volume: 30.08 Å³ per atom

Cell: 3.5191 3.5191 33.6576 Å, 90.00 90.00 120.00°
Fractional coordinates of all 12 atoms:
Pm: 0.0000 0.0000 0.0000
Pm: 0.3333 0.6667 0.6667
Pm: 0.6667 0.3333 0.3333
Pr: 0.0000 0.0000 0.4249
Pr: 0.0000 0.0000 0.5751
Pr: 0.3333 0.6667 0.0916
Pr: 0.3333 0.6667 0.2418
Pr: 0.6667 0.3333 0.7582
Pr: 0.6667 0.3333 0.9084
Fe: 0.0000 0.0000 0.5000
Fe: 0.3333 0.6667 0.1667
Fe: 0.6667 0.3333 0.8333

***

Material: YFeTc
Method: DFT, PBE
State: optimized geometry

formation energy from the elements: 0.5193 eV/atom
volume: 18.90 Å³ per atom

Cell: 6.0982 6.0982 6.0982 Å, 90.00 90.00 90.00°
Fractional coordinates of all 12 atoms:
Y: 0.0000 0.0000 0.0000
Y: 0.0000 0.5000 0.5000
Y: 0.5000 0.0000 0.5000
Y: 0.5000 0.5000 0.0000
Fe: 0.2500 0.2500 0.7500
Fe: 0.2500 0.7500 0.2500
Fe: 0.7500 0.2500 0.2500
Fe: 0.7500 0.7500 0.7500
Tc: 0.0000 0.0000 0.5000
Tc: 0.0000 0.5000 0.0000
Tc: 0.5000 0.0000 0.0000
Tc: 0.5000 0.5000 0.5000

***

Material: AlZn2Pb
Method: DFT, PBE
State: optimized geometry

formation energy from the elements: 0.1682 eV/atom
volume: 20.51 Å³ per atom

Cell: 3.3789 3.3789 7.1844 Å, 90.00 90.00 90.00°
Fractional coordinates of all 4 atoms:
Al: 0.0000 0.0000 0.0000
Zn: 0.0000 0.0000 0.6134
Zn: 0.5000 0.5000 0.8014
Pb: 0.5000 0.5000 0.3140

***

Material: Ca4PO2
Method: DFT, PBE
State: optimized geometry

energy relative to the elements, uncorrected: -1.95 eV per atom
volume: 19.06 Å³ per atom

Cell: 6.2119 6.2119 12.0032 Å, 90.00 90.00 144.83°
Fractional coordinates of all 14 atoms:
Ca: 0.0000 0.0000 0.0000
Ca: 0.0000 0.0000 0.5000
Ca: 0.2672 0.7328 0.6117
Ca: 0.2672 0.7328 0.8883
Ca: 0.4334 0.5666 0.2500
Ca: 0.5666 0.4334 0.7500
Ca: 0.7328 0.2672 0.1117
Ca: 0.7328 0.2672 0.3883
P: 0.1128 0.8872 0.2500
P: 0.8872 0.1128 0.7500
O: 0.3671 0.6329 0.0529
O: 0.3671 0.6329 0.4471
O: 0.6329 0.3671 0.5529
O: 0.6329 0.3671 0.9471

***

Material: Tm8BiPt2
Method: DFT, PBE
State: optimized geometry

formation energy from the elements: -0.5874 eV/atom
volume: 27.80 Å³ per atom

Cell: 7.8966 7.8966 5.5068 Å, 97.66 97.66 113.35°
Fractional coordinates of all 11 atoms:
Tm: 0.0791 0.3352 0.5891
Tm: 0.2492 0.7508 0.0000
Tm: 0.3352 0.0791 0.5891
Tm: 0.3982 0.3982 0.2049
Tm: 0.6018 0.6018 0.7951
Tm: 0.6648 0.9209 0.4109
Tm: 0.7508 0.2492 0.0000
Tm: 0.9209 0.6648 0.4109
Bi: 0.0000 0.0000 0.0000
Pt: 0.3042 0.6958 0.5000
Pt: 0.6958 0.3042 0.5000